# TbScRh | Alexandria via LeMat-Bulk | PBE | optimized geometry
# Size of the total moment: 0.00 μB/atom
# Total DFT energy (no corrections): -122.0 eV for the cell shown
# DOS at the Fermi energy: 1.23 states/eV/atom
# ρ: 7.68 g/cm³
# Energy of formation: -0.67 eV per atom
data_TbScRh
_chemical_formula_sum 'Tb6 Sc6 Rh6'
_cell_length_a 4.521
_cell_length_b 12.353
_cell_length_c 7.123
_cell_angle_alpha 90.00
_cell_angle_beta 90.00
_cell_angle_gamma 90.00
_symmetry_space_group_name_H-M 'A m m 2'
_symmetry_Int_Tables_number 38
loop_
_symmetry_equiv_pos_as_xyz
'x,y,z'
'-x,-y,z'
'-x,y,z'
'x,-y,z'
'x,y+1/2,z+1/2'
'-x,-y+1/2,z+1/2'
'-x,y+1/2,z+1/2'
'x,-y+1/2,z+1/2'
loop_
_atom_site_label
_atom_site_type_symbol
_atom_site_fract_x
_atom_site_fract_y
_atom_site_fract_z
Tb1 Tb 0.000 0.000 0.000
Tb2 Tb 0.000 0.205 0.616
Sc1 Sc 0.500 0.000 0.667
Sc2 Sc 0.500 0.128 0.283
Rh1 Rh 0.000 0.000 0.411
Rh2 Rh 0.500 0.167 0.911

# TbSc2Rh | Alexandria via LeMat-Bulk | PBE | optimized geometry
# Size of the total moment: 0.00 μB/atom
# Total DFT energy (no corrections): -77.4 eV for the cell shown
# DOS at the Fermi energy: 0.99 states/eV/atom
# ρ: 6.11 g/cm³
# Energy of formation: -0.29 eV per atom
data_TbSc2Rh
_chemical_formula_sum 'Tb3 Sc6 Rh3'
_cell_length_a 3.4444
_cell_length_b 3.4444
_cell_length_c 27.9101
_cell_angle_alpha 90.00
_cell_angle_beta 90.00
_cell_angle_gamma 120.00
_symmetry_space_group_name_H-M 'R -3 m'
_symmetry_Int_Tables_number 166
_symmetry_space_group_name_Hall '-R 3 2"'
loop_
_atom_site_label
_atom_site_type_symbol
_atom_site_fract_x
_atom_site_fract_y
_atom_site_fract_z
Tb1 Tb 0.0000 0.0000 0.0000
Sc1 Sc 0.0000 0.0000 0.2286
Rh1 Rh 0.0000 0.0000 0.5000

# TbSc2Rh | Alexandria via LeMat-Bulk | PBE | optimized geometry
# Size of the total moment: 0.00 μB/atom
# Total DFT energy (no corrections): -26.5 eV for the cell shown
# DOS at the Fermi energy: 1.18 states/eV/atom
# ρ: 6.55 g/cm³
# Energy of formation: -0.46 eV per atom
data_TbSc2Rh
_chemical_formula_sum 'Tb1 Sc2 Rh1'
_cell_length_a 3.294
_cell_length_b 3.294
_cell_length_c 8.220
_cell_angle_alpha 90.00
_cell_angle_beta 90.00
_cell_angle_gamma 90.00
_symmetry_space_group_name_H-M 'P 4/m m m'
_symmetry_Int_Tables_number 123
_symmetry_space_group_name_Hall '-P 4 2'
loop_
_atom_site_label
_atom_site_type_symbol
_atom_site_fract_x
_atom_site_fract_y
_atom_site_fract_z
Tb1 Tb 0.000 0.000 0.000
Sc1 Sc 0.500 0.500 0.310
Rh1 Rh 0.000 0.000 0.500

# Tb4ScRh5 | Alexandria via LeMat-Bulk | PBE | optimized geometry
# Size of the total moment: 0.00 μB/atom
# Total DFT energy (no corrections): -70.2 eV for the cell shown
# DOS at the Fermi energy: 0.59 states/eV/atom
# ρ: 10.10 g/cm³
# Energy of formation: -0.86 eV per atom
data_Tb4ScRh5
_chemical_formula_sum 'Tb4 Sc1 Rh5'
_cell_length_a 3.358
_cell_length_b 3.358
_cell_length_c 17.423
_cell_angle_alpha 90.00
_cell_angle_beta 90.00
_cell_angle_gamma 90.00
_symmetry_space_group_name_H-M 'P 4/m m m'
_symmetry_Int_Tables_number 123
_symmetry_space_group_name_Hall '-P 4 2'
loop_
_atom_site_label
_atom_site_type_symbol
_atom_site_fract_x
_atom_site_fract_y
_atom_site_fract_z
Tb1 Tb 0.000 0.000 0.102
Tb2 Tb 0.000 0.000 0.307
Sc1 Sc 0.000 0.000 0.500
Rh1 Rh 0.500 0.500 0.000
Rh2 Rh 0.500 0.500 0.205
Rh3 Rh 0.500 0.500 0.410

# Tb3Sc7Rh4 | Alexandria via LeMat-Bulk | PBE | optimized geometry
# Size of the total moment: 0.00 μB/atom
# Total DFT energy (no corrections): -190.2 eV for the cell shown
# DOS at the Fermi energy: 1.10 states/eV/atom
# ρ: 6.38 g/cm³
# Energy of formation: -0.53 eV per atom
data_Tb3Sc7Rh4
_chemical_formula_sum 'Tb6 Sc14 Rh8'
_cell_length_a 17.651
_cell_length_b 3.904
_cell_length_c 10.808
_cell_angle_alpha 90.00
_cell_angle_beta 122.82
_cell_angle_gamma 90.00
_symmetry_space_group_name_H-M 'C 1 2/m 1'
_symmetry_Int_Tables_number 12
loop_
_symmetry_equiv_pos_as_xyz
'x,y,z'
'-x,-y,-z'
'-x,y,-z'
'x,-y,z'
'x+1/2,y+1/2,z'
'-x+1/2,-y+1/2,-z'
'-x+1/2,y+1/2,-z'
'x+1/2,-y+1/2,z'
loop_
_atom_site_label
_atom_site_type_symbol
_atom_site_fract_x
_atom_site_fract_y
_atom_site_fract_z
Tb1 Tb 0.000 0.000 0.000
Tb2 Tb 0.182 0.500 0.686
Sc1 Sc 0.000 0.000 0.500
Sc2 Sc 0.007 0.500 0.280
Sc3 Sc 0.169 0.000 0.412
Sc4 Sc 0.183 0.500 0.024
Rh1 Rh 0.119 0.000 0.823
Rh2 Rh 0.146 0.500 0.233

# Tb3ScRh2 | Alexandria via LeMat-Bulk | PBE | optimized geometry
# Size of the total moment: 0.00 μB/atom
# Total DFT energy (no corrections): -76.8 eV for the cell shown
# DOS at the Fermi energy: 0.71 states/eV/atom
# ρ: 8.54 g/cm³
# Energy of formation: -0.58 eV per atom
data_Tb3ScRh2
_chemical_formula_sum 'Tb6 Sc2 Rh4'
_cell_length_a 4.144
_cell_length_b 4.663
_cell_length_c 14.636
_cell_angle_alpha 90.00
_cell_angle_beta 90.00
_cell_angle_gamma 90.00
_symmetry_space_group_name_H-M 'I m m m'
_symmetry_Int_Tables_number 71
_symmetry_space_group_name_Hall '-I 2 2'
loop_
_atom_site_label
_atom_site_type_symbol
_atom_site_fract_x
_atom_site_fract_y
_atom_site_fract_z
Tb1 Tb 0.000 0.000 0.000
Tb2 Tb 0.000 0.500 0.315
Sc1 Sc 0.000 0.000 0.500
Rh1 Rh 0.000 0.500 0.127

# TbSc2Rh | Alexandria via LeMat-Bulk | PBE | optimized geometry
# Size of the total moment: 0.00 μB/atom
# Total DFT energy (no corrections): -106.9 eV for the cell shown
# DOS at the Fermi energy: 1.29 states/eV/atom
# ρ: 6.28 g/cm³
# Energy of formation: -0.52 eV per atom
data_TbSc2Rh
_chemical_formula_sum 'Tb4 Sc8 Rh4'
_cell_length_a 6.948
_cell_length_b 8.873
_cell_length_c 6.036
_cell_angle_alpha 90.00
_cell_angle_beta 90.00
_cell_angle_gamma 90.00
_symmetry_space_group_name_H-M 'P n m a'
_symmetry_Int_Tables_number 62
loop_
_symmetry_equiv_pos_as_xyz
'x,y,z'
'-x,-y,-z'
'-x+1/2,-y,z+1/2'
'x+1/2,y,-z+1/2'
'x+1/2,-y+1/2,-z+1/2'
'-x+1/2,y+1/2,z+1/2'
'-x,y+1/2,-z'
'x,-y+1/2,z'
loop_
_atom_site_label
_atom_site_type_symbol
_atom_site_fract_x
_atom_site_fract_y
_atom_site_fract_z
Tb1 Tb 0.030 0.250 0.128
Sc1 Sc 0.176 0.062 0.663
Rh1 Rh 0.115 0.750 0.422

# TbScRh | Alexandria via LeMat-Bulk | PBE | optimized geometry
# Size of the total moment: 0.00 μB/atom
# Total DFT energy (no corrections): -19.6 eV for the cell shown
# DOS at the Fermi energy: 1.04 states/eV/atom
# ρ: 7.73 g/cm³
# Energy of formation: -0.42 eV per atom
data_TbScRh
_chemical_formula_sum 'Tb1 Sc1 Rh1'
_cell_length_a 4.5209
_cell_length_b 4.5209
_cell_length_c 3.7247
_cell_angle_alpha 90.00
_cell_angle_beta 90.00
_cell_angle_gamma 120.00
_symmetry_space_group_name_H-M 'P 3 m 1'
_symmetry_Int_Tables_number 156
loop_
_symmetry_equiv_pos_as_xyz
'x,y,z'
'-y,x-y,z'
'-x+y,-x,z'
'-y,-x,z'
'-x+y,y,z'
'x,x-y,z'
loop_
_atom_site_label
_atom_site_type_symbol
_atom_site_fract_x
_atom_site_fract_y
_atom_site_fract_z
Tb1 Tb 0.0000 0.0000 0.0000
Sc1 Sc 0.6667 0.3333 0.4604
Rh1 Rh 0.3333 0.6667 0.6719

# Tb2ScRh3 | Alexandria via LeMat-Bulk | PBE | optimized geometry
# Size of the total moment: 0.00 μB/atom
# Total DFT energy (no corrections): -42.9 eV for the cell shown
# DOS at the Fermi energy: 0.56 states/eV/atom
# ρ: 9.69 g/cm³
# Energy of formation: -0.88 eV per atom
data_Tb2ScRh3
_chemical_formula_sum 'Tb2 Sc1 Rh3'
_cell_length_a 3.366
_cell_length_b 3.366
_cell_length_c 10.158
_cell_angle_alpha 90.00
_cell_angle_beta 90.00
_cell_angle_gamma 90.00
_symmetry_space_group_name_H-M 'P 4/m m m'
_symmetry_Int_Tables_number 123
_symmetry_space_group_name_Hall '-P 4 2'
loop_
_atom_site_label
_atom_site_type_symbol
_atom_site_fract_x
_atom_site_fract_y
_atom_site_fract_z
Tb1 Tb 0.000 0.000 0.173
Sc1 Sc 0.000 0.000 0.500
Rh1 Rh 0.500 0.500 0.000
Rh2 Rh 0.500 0.500 0.348

# Tb2Sc2Rh | Alexandria via LeMat-Bulk | PBE | optimized geometry
# Size of the total moment: 0.00 μB/atom
# Total DFT energy (no corrections): -124.3 eV for the cell shown
# DOS at the Fermi energy: 1.13 states/eV/atom
# ρ: 6.71 g/cm³
# Energy of formation: -0.36 eV per atom
data_Tb2Sc2Rh
_chemical_formula_sum 'Tb8 Sc8 Rh4'
_cell_length_a 11.909
_cell_length_b 6.663
_cell_length_c 6.662
_cell_angle_alpha 90.00
_cell_angle_beta 106.99
_cell_angle_gamma 90.00
_symmetry_space_group_name_H-M 'C 1 2/c 1'
_symmetry_Int_Tables_number 15
loop_
_symmetry_equiv_pos_as_xyz
'x,y,z'
'-x,-y,-z'
'-x,y,-z+1/2'
'x,-y,z+1/2'
'x+1/2,y+1/2,z'
'-x+1/2,-y+1/2,-z'
'-x+1/2,y+1/2,-z+1/2'
'x+1/2,-y+1/2,z+1/2'
loop_
_atom_site_label
_atom_site_type_symbol
_atom_site_fract_x
_atom_site_fract_y
_atom_site_fract_z
Tb1 Tb 0.148 0.097 0.102
Sc1 Sc 0.114 0.395 0.478
Rh1 Rh 0.000 0.298 0.750